KCdSb2 | GGA-PBEsol | relaxed

a = 3.2676 Å, b = 3.2676 Å, c = 10.3112 Å
α = 90.00°, β = 90.00°, γ = 90.00°
Closest atoms and distances in Å follow each position.
Fractional coordinates of all 4 atoms:
Cd 0.0000 0.0000 0.4815  4 Sb 3.26, 4 Cd 3.27, 4 K 3.58
K 0.5000 0.5000 0.7461  4 K 3.27, 4 Cd 3.58, 4 Sb 3.60
Sb 0.0000 0.0000 0.0138  8 Sb 3.27-3.42, 4 K 3.60
Sb 0.5000 0.5000 0.2587  4 Cd 3.26, 8 Sb 3.27-3.42

## Properties
The total magnetization comes out at 0.000 μB per formula unit. As for the formation energy (no corrections): 35 kJ/mol of formula units.

---

KCdSb2Te | GGA-PBEsol | relaxed

a = 5.4920 Å, b = 5.4920 Å, c = 5.8009 Å
α = 90.00°, β = 90.00°, γ = 90.00°
Closest atoms and distances in Å follow each position.
Fractional coordinates of all 5 atoms:
Sb 0.0000 0.5000 0.0000  2 Cd 2.75
Sb 0.5000 0.0000 0.0000  2 Cd 2.75
K 0.5000 0.5000 0.5000  4 Te 3.88, 8 Sb 3.99
Te 0.0000 0.0000 0.5000  2 Cd 2.90
Cd 0.0000 0.0000 0.0000  4 Sb 2.75, 2 Te 2.90

## Properties
The total magnetization comes out at 0.001 μB per formula unit. As for the formation energy (no corrections): 99 kJ/mol of formula units.

---

KCdSb2W | GGA-PBEsol | relaxed

a = 5.4132 Å, b = 5.4132 Å, c = 5.3627 Å
α = 90.00°, β = 90.00°, γ = 90.00°
Closest atoms and distances in Å follow each position.
Fractional coordinates of all 5 atoms:
Sb 0.0000 0.5000 0.0000  2 Cd 2.71
Sb 0.5000 0.0000 0.0000  2 Cd 2.71
K 0.0000 0.0000 0.5000  2 Cd 2.68
W 0.5000 0.5000 0.5000  8 Sb 3.81, 4 K 3.83
Cd 0.0000 0.0000 0.0000  2 K 2.68, 4 Sb 2.71

## Properties
The total magnetization comes out at 4.150 μB per formula unit. As for the formation energy (no corrections): 782 kJ/mol of formula units.

---

KSc4Cd | GGA-PBEsol | relaxed

a = 6.1003 Å, b = 6.1003 Å, c = 6.1003 Å
α = 60.00°, β = 60.00°, γ = 60.00°
Closest atoms and distances in Å follow each position.
Fractional coordinates of all 6 atoms:
Cd 0.7500 0.7500 0.7500  12 Sc 3.57, 4 K 3.74
K 0.0000 0.0000 0.0000  12 Sc 3.58, 4 Cd 3.74
Sc 0.3779 0.3779 0.3779  6 Sc 2.98-3.12
Sc 0.3779 0.3779 0.8664  6 Sc 2.98-3.12
Sc 0.8664 0.3779 0.3779  6 Sc 2.98-3.12
Sc 0.3779 0.8664 0.3779  6 Sc 2.98-3.12

## Properties
The total magnetization comes out at 0.001 μB per formula unit. The calculation puts the energy of formation from the pure elements at 475 meV/atom.